{
  "formula": "SmTmAl",
  "functional": "PBE",
  "state": "optimized geometry",
  "cell": [[-2.828, 1.947, -0.383], [-1.275, -1.271, 2.949], [5.016, 4.642, 2.146]],
  "species": ["Al", "Tm", "Sm"],
  "frac_coords": [[0.946, 0.946, 0.892], [0.304, 0.304, 0.607], [0.600, 0.600, 0.200]],
  "n_ef_per_ev_atom": 0.637,
  "e_tot_ev_per_atom": -4.55,
  "formation_energy_ev_per_atom": -0.24
}